Entry 1:
The following is a DFT calculation (GGA-PBE) of CeSeCl after structural relaxation.

Output
V, Å³/cell: 356
Formation energy (no corrections), eV/atom: -1.927

Unit cell a=4.080 b=4.080 c=21.380 alpha=90.00 beta=90.00 gamma=90.00
Space group I-4m2 (No. 119)
Asymmetric unit:
Ce 0.000 0.000 0.158 [4 per cell]
Se 0.000 0.000 0.301 [4 per cell]
Cl 0.000 0.500 0.067 [4 per cell]

---

Entry 2:
The following is a DFT calculation (GGA-PBE) of CeSe2Cl8 after structural relaxation.

Output
V, Å³/cell: 837
Formation energy (no corrections), eV/atom: -0.893

Unit cell a=13.405 b=8.309 c=7.829 alpha=90.00 beta=106.33 gamma=90.00
Space group C2/m (No. 12)
Asymmetric unit:
Ce 0.000 0.000 0.000 [2 per cell]
Se 0.165 0.000 0.520 [4 per cell]
Cl 0.053 0.213 0.804 [8 per cell]
Cl 0.182 0.500 0.299 [4 per cell]
Cl 0.205 0.000 0.260 [4 per cell]